No. 1
Computed, not measured: NaAcSn2Au2 after structural relaxation at the PBE level of DFT.

extended XYZ file:
```
6
Lattice="4.828 0.000 0.000 -2.414 4.181 0.000 0.000 0.000 7.546" Properties=species:S:1:pos:R:3 pbc="T T T"
Na 0.000 0.000 0.000
Ac 0.000 0.000 3.773
Sn 0.000 2.787 5.996
Sn 2.414 1.394 1.551
Au 0.000 2.787 1.638
Au 2.414 1.394 5.908
```

Crystal system   trigonal
E_form   -0.56 eV per atom
E   -3.89 eV per atom

---

No. 2
Computed, not measured: NaAc2Sn4Au3 after structural relaxation at the PBE level of DFT.

extended XYZ file:
```
10
Lattice="4.712 0.000 0.000 0.000 4.712 0.000 0.000 0.000 11.958" Properties=species:S:1:pos:R:3 pbc="T T T"
Na 0.000 0.000 0.000
Ac 0.000 2.356 8.943
Ac 2.356 0.000 3.014
Sn 0.000 0.000 5.979
Sn 0.000 2.356 1.663
Sn 2.356 0.000 10.295
Sn 2.356 2.356 5.979
Au 0.000 2.356 4.366
Au 2.356 0.000 7.591
Au 2.356 2.356 0.000
```

Crystal system   tetragonal
E_form   -0.55 eV per atom
E   -4.09 eV per atom

---

No. 3
Computed, not measured: NaAcTlAu after structural relaxation at the PBE level of DFT.

extended XYZ file:
```
16
Lattice="7.710 0.000 0.000 0.000 7.710 0.000 0.000 0.000 7.710" Properties=species:S:1:pos:R:3 pbc="T T T"
Na 0.000 0.000 0.000
Na 0.000 3.855 3.855
Na 3.855 0.000 3.855
Na 3.855 3.855 0.000
Ac 0.000 0.000 3.855
Ac 0.000 3.855 0.000
Ac 3.855 0.000 0.000
Ac 3.855 3.855 3.855
Tl 1.928 1.928 5.783
Tl 1.928 5.783 1.928
Tl 5.783 1.928 1.928
Tl 5.783 5.783 5.783
Au 1.928 1.928 1.928
Au 1.928 5.783 5.783
Au 5.783 1.928 5.783
Au 5.783 5.783 1.928
```

Crystal system   cubic
E_form   -0.38 eV per atom
E   -3.15 eV per atom